Computed, not measured: a geometry-optimized Si2PbW structure at the GGA-PBE level of DFT.

```
Si2PbW
1.0
-3.560 -0.122 -3.254
2.171 -2.578 -3.453
-0.388 -1.279 4.636
Pb Si W
1 2 1
Direct
0.750 0.250 0.500
0.000 0.000 0.000
0.500 0.500 0.000
0.250 0.750 0.500
```

Computed properties:
Final energy, eV/cell: -23.762
SG: No. 139


Computed, not measured: a geometry-optimized SiPb4W structure at the GGA-PBE level of DFT.

```
SiPb4W
1.0
0.030 -6.051 1.566
-5.153 -3.454 -0.772
-0.187 -4.382 -4.454
Si Pb W
1 4 1
Direct
0.750 0.750 0.750
0.876 0.375 0.375
0.375 0.375 0.876
0.375 0.876 0.375
0.375 0.375 0.375
0.000 0.000 0.000
```

Computed properties:
Final energy, eV/cell: -25.184
SG: No. 216


Computed, not measured: a geometry-optimized Si2PbW structure at the GGA-PBE level of DFT.

```
Si2PbW
1.0
-3.282 -0.872 -0.148
0.444 -2.369 4.127
-1.082 3.692 2.236
Pb Si W
1 2 1
Direct
0.000 0.500 0.500
0.000 0.000 0.000
0.500 0.500 0.000
0.500 0.000 0.500
```

Computed properties:
Final energy, eV/cell: -23.579
SG: No. 47


Computed, not measured: a geometry-optimized Si2PbW structure at the GGA-PBE level of DFT.

```
Si2PbW
1.0
4.691 0.000 0.000
2.345 4.062 0.000
2.345 1.354 3.830
Pb Si W
1 2 1
Direct
0.500 0.500 0.500
0.000 0.000 0.000
0.750 0.750 0.750
0.250 0.250 0.250
```

Computed properties:
Final energy, eV/cell: -23.154
SG: No. 216


Computed, not measured: a geometry-optimized SiPb2W structure at the GGA-PBE level of DFT.

```
SiPb2W
1.0
4.583 0.002 0.006
3.367 3.108 0.006
1.486 0.581 6.960
Pb Si W
2 1 1
Direct
0.029 0.029 0.935
0.221 0.221 0.309
0.482 0.482 0.610
0.768 0.768 0.647
```

Computed properties:
Final energy, eV/cell: -23.692
SG: No. 8


Computed, not measured: a geometry-optimized Si4PbW structure at the GGA-PBE level of DFT.

```
Si4PbW
1.0
-1.170 2.530 4.377
-4.930 1.248 1.037
-2.549 -2.440 3.806
Si Pb W
4 1 1
Direct
0.870 0.377 0.377
0.377 0.377 0.870
0.377 0.870 0.377
0.377 0.377 0.377
0.000 0.000 0.000
0.750 0.750 0.750
```

Computed properties:
Final energy, eV/cell: -33.749
SG: No. 216


Computed, not measured: a geometry-optimized Si2PbW structure at the GGA-PBE level of DFT.

```
Si2PbW
1.0
-0.956 -2.703 -1.508
2.431 0.322 -2.120
4.233 -3.876 4.266
Pb Si W
1 2 1
Direct
0.500 0.500 0.750
0.000 0.000 0.073
0.000 0.000 0.427
0.500 0.500 0.250
```

Computed properties:
Final energy, eV/cell: -26.397
SG: No. 123


Computed, not measured: a geometry-optimized Si2PbW structure at the GGA-PBE level of DFT.

```
Si2PbW
1.0
9.850 -0.010 -0.006
9.387 2.982 -0.006
9.387 1.451 2.606
Pb Si W
1 2 1
Direct
0.243 0.243 0.243
0.018 0.018 0.018
0.753 0.753 0.753
0.486 0.486 0.486
```

Computed properties:
Final energy, eV/cell: -24.960
SG: No. 160


Computed, not measured: a geometry-optimized SiPb2W structure at the GGA-PBE level of DFT.

```
SiPb2W
1.0
-4.974 -2.483 0.007
0.185 -5.139 -2.111
2.965 2.675 3.867
Pb Si W
2 1 1
Direct
0.000 0.000 0.000
0.500 0.500 0.000
0.250 0.750 0.500
0.750 0.250 0.500
```

Computed properties:
Final energy, eV/cell: -21.174
SG: No. 139


Computed, not measured: a geometry-optimized SiPb2W structure at the GGA-PBE level of DFT.

```
SiPb2W
1.0
-1.211 1.413 3.045
-4.214 -2.731 -0.409
2.064 -3.555 2.470
Pb Si W
2 1 1
Direct
0.000 0.000 0.000
0.500 0.500 0.000
0.500 0.000 0.500
0.000 0.500 0.500
```

Computed properties:
Final energy, eV/cell: -21.296
SG: No. 47


Computed, not measured: a geometry-optimized Si2PbW structure at the GGA-PBE level of DFT.

```
Si2PbW
1.0
-1.735 -2.299 -3.304
2.109 -2.707 0.777
-2.320 -3.115 3.386
Pb Si W
1 2 1
Direct
0.500 0.713 0.700
0.000 0.019 0.087
0.500 0.444 0.236
0.000 0.325 0.477
```

Computed properties:
Final energy, eV/cell: -25.669
SG: No. 6


Computed, not measured: a geometry-optimized Si2Pb2W structure at the GGA-PBE level of DFT.

```
Si2Pb2W
1.0
-6.009 4.673 5.610
-7.805 5.210 1.165
5.606 -6.953 -3.105
Si Pb W
2 2 1
Direct
0.250 0.750 0.500
0.750 0.250 0.500
0.597 0.597 0.000
0.403 0.403 0.000
0.000 0.000 0.000
```

Computed properties:
Final energy, eV/cell: -27.074
SG: No. 139


Computed, not measured: a geometry-optimized SiPb2W structure at the GGA-PBE level of DFT.

```
SiPb2W
1.0
3.101 -0.006 0.000
-0.944 2.954 0.000
0.000 0.000 10.188
Pb Si W
2 1 1
Direct
0.000 0.000 0.946
0.500 0.500 0.295
0.000 0.000 0.547
0.500 0.500 0.712
```

Computed properties:
Final energy, eV/cell: -23.525
SG: No. 35


Computed, not measured: a geometry-optimized Si2PbW structure at the GGA-PBE level of DFT.

```
Si2PbW
1.0
6.041 0.000 0.000
0.000 6.041 0.000
3.020 3.020 5.917
Pb Si W
2 4 2
Direct
0.000 0.000 0.000
0.750 0.250 0.500
0.563 0.125 0.250
0.187 0.625 0.250
0.375 0.437 0.750
0.875 0.813 0.750
0.500 0.500 0.000
0.250 0.750 0.500
```

Computed properties:
Final energy, eV/cell: -47.877
SG: No. 122


Computed, not measured: a geometry-optimized YSiPb2 structure at the GGA-PBE level of DFT.

```
YSiPb2
1.0
5.650 0.000 0.000
0.000 3.514 0.000
0.000 0.047 5.368
Pb Si Y
2 1 1
Direct
0.000 0.029 0.003
0.000 0.471 0.497
0.500 0.250 0.250
0.500 0.750 0.750
```

Computed properties:
Final energy, eV/cell: -19.247
SG: No. 10


Computed, not measured: a geometry-optimized YSi2Pb structure at the GGA-PBE level of DFT.

```
YSi2Pb
1.0
-1.438 -3.482 0.749
2.275 -0.098 3.916
-2.966 2.193 4.501
Pb Si Y
1 2 1
Direct
0.500 0.780 0.827
0.000 0.197 0.988
0.500 0.040 0.282
0.000 0.483 0.402
```

Computed properties:
Final energy, eV/cell: -21.784
SG: No. 6


Computed, not measured: a geometry-optimized Y5Si2Pb2 structure at the GGA-PBE level of DFT.

```
Y5Si2Pb2
1.0
7.422 0.000 2.694
0.000 7.841 0.000
1.079 0.000 8.599
Y Si Pb
10 4 4
Direct
0.000 0.000 0.000
0.500 0.500 0.000
0.452 0.171 0.750
0.798 0.829 0.750
0.298 0.671 0.750
0.952 0.329 0.750
0.548 0.829 0.250
0.202 0.171 0.250
0.702 0.329 0.250
0.048 0.671 0.250
0.127 0.373 0.000
0.873 0.627 0.000
0.373 0.873 0.000
0.627 0.127 0.000
0.214 0.000 0.572
0.714 0.500 0.572
0.786 0.000 0.428
0.286 0.500 0.428
```

Computed properties:
Final energy, eV/cell: -113.428
SG: No. 64


Computed, not measured: a geometry-optimized YSi2Pb structure at the GGA-PBE level of DFT.

```
YSi2Pb
1.0
5.412 -0.014 -0.093
1.726 5.130 0.093
-3.510 -2.640 3.164
Pb Si Y
1 2 1
Direct
0.750 0.250 0.500
0.000 0.000 0.000
0.500 0.500 0.000
0.250 0.750 0.500
```

Computed properties:
Final energy, eV/cell: -21.044
SG: No. 71


Computed, not measured: a geometry-optimized Y3SiPb structure at the GGA-PBE level of DFT.

```
Y3SiPb
1.0
5.354 0.000 0.000
0.000 5.354 0.000
0.000 0.000 5.354
Pb Y Si
1 3 1
Direct
0.500 0.500 0.500
0.000 0.500 0.000
0.000 0.000 0.500
0.500 0.000 0.000
0.000 0.000 0.000
```

Computed properties:
Final energy, eV/cell: -30.576
Relative energy among the computed polymorphs, eV per atom: 0.000
SG: No. 221


Computed, not measured: a geometry-optimized YSiPb2 structure at the GGA-PBE level of DFT.

```
YSiPb2
1.0
-4.717 -7.557 -0.147
-1.121 -8.838 -0.030
-2.884 -7.800 3.195
Pb Si Y
2 1 1
Direct
0.988 0.988 0.988
0.512 0.512 0.512
0.250 0.250 0.250
0.750 0.750 0.750
```

Computed properties:
Final energy, eV/cell: -18.647
SG: No. 166


Computed, not measured: a geometry-optimized YSi2Pb structure at the GGA-PBE level of DFT.

```
YSi2Pb
1.0
5.930 0.029 0.000
3.000 5.115 0.000
-4.465 -2.572 2.935
Pb Si Y
1 2 1
Direct
0.750 0.250 0.500
0.000 0.000 0.000
0.250 0.750 0.500
0.500 0.500 0.000
```

Computed properties:
Final energy, eV/cell: -21.229
SG: No. 119


Computed, not measured: a geometry-optimized YSi2Pb structure at the GGA-PBE level of DFT.

```
YSi2Pb
1.0
3.905 0.000 0.000
0.000 3.905 0.000
0.000 0.000 6.215
Pb Si Y
1 2 1
Direct
0.500 0.500 0.750
0.000 0.000 0.059
0.000 0.000 0.441
0.500 0.500 0.250
```

Computed properties:
Final energy, eV/cell: -21.439
SG: No. 123


Computed, not measured: a geometry-optimized Y2SiPb structure at the GGA-PBE level of DFT.

```
Y2SiPb
1.0
5.429 0.019 -0.026
-1.087 5.319 -0.026
0.018 0.022 3.483
Pb Si Y
1 1 2
Direct
0.500 0.000 0.500
0.000 0.500 0.500
0.000 0.000 0.000
0.500 0.500 0.000
```

Computed properties:
Final energy, eV/cell: -23.588
Relative energy among the computed polymorphs, eV per atom: 0.194
SG: No. 65


Computed, not measured: a geometry-optimized YSi2Pb2 structure at the GGA-PBE level of DFT.

```
YSi2Pb2
1.0
7.437 0.000 0.000
0.000 7.437 0.000
0.000 0.000 4.461
Pb Y Si
4 2 4
Direct
0.180 0.680 0.500
0.680 0.820 0.500
0.820 0.320 0.500
0.320 0.180 0.500
0.000 0.000 0.000
0.500 0.500 0.000
0.386 0.886 0.000
0.886 0.614 0.000
0.614 0.114 0.000
0.114 0.386 0.000
```

Computed properties:
Final energy, eV/cell: -49.787
Relative energy among the computed polymorphs, eV per atom: 0.000
SG: No. 127


Computed, not measured: a geometry-optimized YSi2Pb structure at the GGA-PBE level of DFT.

```
YSi2Pb
1.0
-0.029 2.256 3.427
-2.748 -2.123 1.374
2.782 -5.022 3.329
Pb Si Y
1 2 1
Direct
0.500 0.750 0.750
0.000 0.870 0.066
0.000 0.630 0.434
0.500 0.250 0.250
```

Computed properties:
Final energy, eV/cell: -21.488
SG: No. 10


Computed, not measured: a geometry-optimized Y2SiPb structure at the GGA-PBE level of DFT.

```
Y2SiPb
1.0
-7.818 -1.648 -0.756
1.535 -7.797 1.120
-3.553 -4.318 3.556
Pb Y Si
2 4 2
Direct
0.000 0.000 0.000
0.750 0.250 0.500
0.596 0.125 0.250
0.154 0.625 0.250
0.375 0.404 0.750
0.875 0.846 0.750
0.500 0.500 0.000
0.250 0.750 0.500
```

Computed properties:
Final energy, eV/cell: -46.588
Relative energy among the computed polymorphs, eV per atom: 0.268
SG: No. 122


Computed, not measured: a geometry-optimized YSiPb2 structure at the GGA-PBE level of DFT.

```
YSiPb2
1.0
5.349 0.000 0.000
2.674 4.632 0.000
2.674 1.544 4.367
Pb Si Y
2 1 1
Direct
0.000 0.000 0.000
0.250 0.250 0.250
0.500 0.500 0.500
0.750 0.750 0.750
```

Computed properties:
Final energy, eV/cell: -19.047
SG: No. 216


Computed, not measured: a geometry-optimized YSi2Pb structure at the GGA-PBE level of DFT.

```
YSi2Pb
1.0
-1.280 0.365 -5.412
-3.044 -2.563 -3.902
-5.092 2.325 -1.440
Pb Si Y
1 2 1
Direct
0.250 0.250 0.250
0.006 0.006 0.876
0.494 0.494 0.624
0.750 0.750 0.750
```

Computed properties:
Final energy, eV/cell: -21.598
SG: No. 12


Computed, not measured: a geometry-optimized YSi2Pb structure at the GGA-PBE level of DFT.

```
YSi2Pb
1.0
-0.355 -7.731 -2.312
3.392 -6.883 -2.523
1.820 -7.822 0.860
Pb Si Y
1 2 1
Direct
0.750 0.750 0.750
0.001 0.001 0.001
0.499 0.499 0.499
0.250 0.250 0.250
```

Computed properties:
Final energy, eV/cell: -20.257
SG: No. 166


The following density values (in g/cm3) correspond, in order, to the records above: 10.370, 10.007, 10.274, 10.176, 10.498, 8.457, 9.888, 9.652, 11.796, 12.063, 9.937, 10.213, 11.154, 6.879, 8.279, 6.317, 6.363, 6.648, 5.431, 8.092, 6.590, 6.171, 6.813, 7.531, 6.043, 6.224, 8.154, 5.954, 5.875.
The following uncorrected formation energy values (in eV/f.u.) correspond, in order, to the records above: 3.75, 8.03, 3.93, 4.35, 2.10, 4.60, 1.11, 2.55, 4.62, 4.50, 1.84, 4.14, 2.27, 3.57, 0.06, -0.77, -6.13, -0.03, -2.05, 0.66, -0.21, -0.42, -1.53, -0.17, -0.47, -1.23, 0.26, -0.58, 0.76.